Entry from Alexandria via LeMat-Bulk: a relaxed structure of LiTe2HI (PBE-GGA).

Geometry as POSCAR:
```
LiTe2HI
1.0
4.574 0.030 -0.013
0.060 6.742 -0.028
2.074 2.928 5.683
Te Li I H
2 1 1 1
Direct
0.284 0.134 0.043 Te
0.673 0.382 0.581 Te
0.223 0.158 0.501 Li
0.695 0.874 0.574 I
0.978 0.257 0.980 H
```

Calculated values
The calculation puts the density of states at the Fermi level at 1.76 states/eV/f.u. As for the total moment: 0.0 μB per cell. The calculation puts the energy above the lowest structure with this stoichiometry at 112.9 meV/atom.